Below is TbCo2Sn4 after structural relaxation, with properties calculated at the PBE-GGA level.

Output
formation energy from the elements	-302	meV/atom
crystal system	orthorhombic
total moment	0.000	μB/f.u.
space-group type	Pnma, No. 62

a = 4.3322 Å, b = 7.0969 Å, c = 18.1588 Å
α = 90.00°, β = 90.00°, γ = 90.00°
Sites, in units of the cell vectors:
Sn: 0.2500 0.7995 0.1804
Sn: 0.2500 0.2196 0.1980
Sn: 0.7500 0.2005 0.8196
Tb: 0.7500 0.0037 0.6422
Sn: 0.2500 0.3659 0.0294
Tb: 0.2500 0.5037 0.8578
Sn: 0.7500 0.8659 0.4706
Sn: 0.2500 0.7005 0.6804
Co: 0.2500 0.9840 0.7857
Co: 0.7500 0.4840 0.7143
Tb: 0.2500 0.9963 0.3578
Sn: 0.2500 0.4884 0.4314
Sn: 0.7500 0.7196 0.3020
Co: 0.2500 0.7501 0.5359
Sn: 0.7500 0.5116 0.5686
Co: 0.2500 0.5160 0.2857
Co: 0.2500 0.7499 0.0359
Sn: 0.7500 0.9884 0.0686
Sn: 0.7500 0.7804 0.8020
Sn: 0.7500 0.6341 0.9706
Sn: 0.2500 0.2804 0.6980
Sn: 0.2500 0.0116 0.9314
Sn: 0.7500 0.2995 0.3196
Sn: 0.2500 0.1341 0.5294
Co: 0.7500 0.2499 0.4641
Co: 0.7500 0.0160 0.2143
Co: 0.7500 0.2501 0.9641
Tb: 0.7500 0.4963 0.1422